(1)
InGe3Au | the Alexandria database | PBE-GGA | optimized geometry; space group = Pm-3m (221); ΔE to the lowest computed polymorph = 0 meV per atom
1.0
5.095 0.000 0.000
0.000 5.095 0.000
0.000 0.000 5.095
In Ge Au
1 3 1
direct
0.000 0.000 0.000
0.000 0.500 0.500
0.500 0.000 0.500
0.500 0.500 0.000
0.500 0.500 0.500

(2)
Er3Ge2Ru2 | the Alexandria database | PBE-GGA | optimized geometry; total DFT energy (no corrections) = -6.6423 eV/atom; space group = Pbcm (57)
1.0
5.518 0.000 0.000
0.000 7.654 0.000
0.000 0.000 13.537
Er Ge Ru
12 8 8
direct
0.125 0.232 0.250
0.125 0.268 0.750
0.350 0.598 0.099
0.350 0.598 0.401
0.350 0.902 0.599
0.350 0.902 0.901
0.650 0.098 0.099
0.650 0.098 0.401
0.650 0.402 0.599
0.650 0.402 0.901
0.875 0.732 0.250
0.875 0.768 0.750
0.130 0.250 0.000
0.130 0.250 0.500
0.377 0.615 0.750
0.377 0.885 0.250
0.623 0.115 0.750
0.623 0.385 0.250
0.870 0.750 0.000
0.870 0.750 0.500
0.148 0.534 0.592
0.148 0.534 0.908
0.148 0.966 0.092
0.148 0.966 0.408
0.852 0.034 0.592
0.852 0.034 0.908
0.852 0.466 0.092
0.852 0.466 0.408

(3)
Zn2TeAs | the Alexandria database | PBE-GGA | optimized geometry; formation energy from raw total energies = 0.219 eV per atom; space group = Cmm2 (35); ΔE to the lowest computed polymorph = 397 meV per atom
1.0
1.878 -2.344 0.000
1.878 2.344 0.000
0.000 0.000 9.752
Zn Te As
2 1 1
direct
0.000 0.000 0.000
0.500 0.500 0.193
0.500 0.500 0.733
0.000 0.000 0.383

Which formula does entry 2 have? Er3Ge2Ru2